Record 1
PmNd4Zn5 | the Alexandria database | PBE | optimized geometry; symmetry = No. 123; ΔH_f (0 K) = -3.1 eV per formula unit
1.0
3.680 0.000 0.000
0.000 3.680 0.000
0.000 0.000 18.430
Pm Nd Zn
1 4 5
direct
0.000 0.000 0.000 Pm
0.000 0.000 0.199 Nd
0.000 0.000 0.400 Nd
0.000 0.000 0.600 Nd
0.000 0.000 0.801 Nd
0.500 0.500 0.098 Zn
0.500 0.500 0.300 Zn
0.500 0.500 0.500 Zn
0.500 0.500 0.700 Zn
0.500 0.500 0.902 Zn

Record 2
Dy4TlSe6 | the Alexandria database | PBE | optimized geometry; symmetry = No. 63; formation energy from raw total energies = -1.64 eV per atom
1.0
2.062 -6.835 0.000
2.062 6.835 0.000
0.000 0.000 21.700
Dy Tl Se
8 2 12
direct
0.094 0.906 0.632 Dy
0.094 0.906 0.868 Dy
0.367 0.633 0.541 Dy
0.367 0.633 0.959 Dy
0.633 0.367 0.041 Dy
0.633 0.367 0.459 Dy
0.906 0.094 0.132 Dy
0.906 0.094 0.368 Dy
0.163 0.837 0.250 Tl
0.837 0.163 0.750 Tl
0.000 0.000 0.000 Se
0.000 0.000 0.500 Se
0.163 0.837 0.750 Se
0.272 0.728 0.081 Se
0.272 0.728 0.419 Se
0.460 0.540 0.654 Se
0.460 0.540 0.846 Se
0.540 0.460 0.154 Se
0.540 0.460 0.346 Se
0.728 0.272 0.581 Se
0.728 0.272 0.919 Se
0.837 0.163 0.250 Se

Record 3
SiPb2Au | the Alexandria database | PBE | optimized geometry; symmetry = No. 12; formation energy from raw total energies = 0.24 eV per atom
1.0
3.548 -2.072 0.000
3.548 2.072 0.000
-2.411 0.000 6.990
Si Pb Au
1 2 1
direct
0.000 0.000 0.000 Si
0.253 0.253 0.761 Pb
0.747 0.747 0.239 Pb
0.500 0.500 0.500 Au

Record 4
PuTlFe4 | the Alexandria database | PBE | optimized geometry; symmetry = No. 216; ΔH_f (0 K) = 1.9 eV per formula unit
1.0
0.000 3.619 3.619
3.619 0.000 3.619
3.619 3.619 0.000
Pu Tl Fe
1 1 4
direct
0.000 0.000 0.000 Pu
0.250 0.250 0.250 Tl
0.120 0.627 0.627 Fe
0.627 0.120 0.627 Fe
0.627 0.627 0.120 Fe
0.627 0.627 0.627 Fe

Record 5
Be2NbB4 | the Alexandria database | PBE | optimized geometry; symmetry = No. 71; ΔH_f (0 K) = -1.9 eV per formula unit
1.0
-1.518 1.598 6.051
1.518 -1.598 6.051
1.518 1.598 -6.051
Be Nb B
2 1 4
direct
0.187 0.187 0.000 Be
0.813 0.813 0.000 Be
0.000 0.500 0.500 Nb
0.349 0.349 0.000 B
0.420 0.920 0.500 B
0.580 0.080 0.500 B
0.651 0.651 0.000 B

Record 6
KAsPdO4 | the Alexandria database | PBE | optimized geometry; symmetry = No. 216; formation energy from raw total energies = -0.81 eV per atom
1.0
0.000 4.388 4.388
4.388 0.000 4.388
4.388 4.388 0.000
K As Pd O
1 1 1 4
direct
0.000 0.000 0.000 K
0.500 0.500 0.500 As
0.250 0.250 0.250 Pd
0.387 0.387 0.387 O
0.387 0.387 0.840 O
0.387 0.840 0.387 O
0.840 0.387 0.387 O